# 1
Computed, not measured: crystalline Sc2Ta at its relaxed geometry at the PBE level of DFT.

The structure in POSCAR format:
```
Sc2Ta
1.0
3.109 0.000 0.000
-1.555 2.693 0.000
0.000 0.000 7.764
Sc Ta
2 1
Direct
0.333 0.667 0.186 Sc
0.667 0.333 0.814 Sc
0.000 0.000 0.500 Ta
```

Offset from the most stable computed form, meV/atom: 79.1
Size of the total moment, Bohr magnetons per cell: 0.0
DFT formation energy, meV/atom: 170.8

# 2
Computed, not measured: crystalline Sc2Ta at its relaxed geometry at the PBE level of DFT.

The structure in POSCAR format:
```
Sc2Ta
1.0
7.522 -1.531 0.000
7.522 1.531 0.000
-0.754 0.000 5.626
Sc Ta
4 2
Direct
0.079 0.079 0.377 Sc
0.242 0.242 0.766 Sc
0.758 0.758 0.234 Sc
0.921 0.921 0.623 Sc
0.420 0.420 0.096 Ta
0.580 0.580 0.904 Ta
```

Offset from the most stable computed form, meV/atom: 46.0
Size of the total moment, Bohr magnetons per cell: 0.0
DFT formation energy, meV/atom: 137.7

# 3
Computed, not measured: crystalline Sc2Ta at its relaxed geometry at the PBE level of DFT.

The structure in POSCAR format:
```
Sc2Ta
1.0
0.000 3.973 3.973
3.973 0.000 3.973
3.973 3.973 0.000
Sc Ta
4 2
Direct
0.000 0.000 0.000 Sc
0.000 0.000 0.500 Sc
0.000 0.500 0.000 Sc
0.500 0.000 0.000 Sc
0.375 0.375 0.375 Ta
0.625 0.625 0.625 Ta
```

Offset from the most stable computed form, meV/atom: 558.0
Size of the total moment, Bohr magnetons per cell: 0.0
DFT formation energy, meV/atom: 649.6

# 4
Computed, not measured: crystalline ScTa at its relaxed geometry at the PBE level of DFT.

The structure in POSCAR format:
```
ScTa
1.0
-1.794 2.490 4.638
1.794 -2.490 4.638
1.794 2.490 -4.638
Sc Ta
2 2
Direct
0.365 0.115 0.250 Sc
0.635 0.885 0.750 Sc
0.104 0.354 0.750 Ta
0.896 0.646 0.250 Ta
```

Offset from the most stable computed form, meV/atom: 128.2
Size of the total moment, Bohr magnetons per cell: 0.0
DFT formation energy, meV/atom: 235.6

# 5
Computed, not measured: crystalline Sc2Ta at its relaxed geometry at the PBE level of DFT.

The structure in POSCAR format:
```
Sc2Ta
1.0
8.450 0.000 0.000
-4.225 7.318 0.000
0.000 0.000 3.083
Sc Ta
6 3
Direct
0.000 0.309 0.000 Sc
0.000 0.644 0.500 Sc
0.309 0.000 0.000 Sc
0.356 0.356 0.500 Sc
0.644 0.000 0.500 Sc
0.691 0.691 0.000 Sc
0.000 0.000 0.500 Ta
0.333 0.667 0.000 Ta
0.667 0.333 0.000 Ta
```

Offset from the most stable computed form, meV/atom: 31.0
Size of the total moment, Bohr magnetons per cell: 0.0
DFT formation energy, meV/atom: 122.6

# 6
Computed, not measured: crystalline Sc2Ta at its relaxed geometry at the PBE level of DFT.

The structure in POSCAR format:
```
Sc2Ta
1.0
5.792 -1.549 0.000
5.792 1.549 0.000
-1.864 0.000 7.213
Sc Ta
4 2
Direct
0.000 0.000 0.000 Sc
0.055 0.055 0.615 Sc
0.324 0.324 0.664 Sc
0.662 0.662 0.324 Sc
0.380 0.380 0.264 Ta
0.734 0.734 0.962 Ta
```

Offset from the most stable computed form, meV/atom: 56.1
Size of the total moment, Bohr magnetons per cell: 0.0
DFT formation energy, meV/atom: 147.7

# 7
Computed, not measured: crystalline ScTa3 at its relaxed geometry at the PBE level of DFT.

The structure in POSCAR format:
```
ScTa3
1.0
2.876 0.000 0.000
0.000 4.787 0.000
-0.942 0.000 5.565
Sc Ta
1 3
Direct
0.000 0.000 0.000 Sc
0.278 0.500 0.734 Ta
0.500 0.000 0.500 Ta
0.722 0.500 0.266 Ta
```

Offset from the most stable computed form, meV/atom: 26.1
Size of the total moment, Bohr magnetons per cell: 0.0
DFT formation energy, meV/atom: 147.4

# 8
Computed, not measured: crystalline ScTa at its relaxed geometry at the PBE level of DFT.

The structure in POSCAR format:
```
ScTa
1.0
5.468 0.000 0.000
0.000 5.468 0.000
0.000 0.000 5.468
Sc Ta
4 4
Direct
0.100 0.400 0.600 Sc
0.400 0.600 0.100 Sc
0.600 0.100 0.400 Sc
0.900 0.900 0.900 Sc
0.103 0.897 0.397 Ta
0.397 0.103 0.897 Ta
0.603 0.603 0.603 Ta
0.897 0.397 0.103 Ta
```

Offset from the most stable computed form, meV/atom: 337.7
Size of the total moment, Bohr magnetons per cell: 0.0
DFT formation energy, meV/atom: 445.1

# 9
Computed, not measured: crystalline ScTa at its relaxed geometry at the PBE level of DFT.

The structure in POSCAR format:
```
ScTa
1.0
4.970 0.000 0.000
-2.485 4.304 0.000
0.000 0.000 5.305
Sc Ta
2 2
Direct
0.333 0.667 0.250 Sc
0.667 0.333 0.750 Sc
0.333 0.667 0.750 Ta
0.667 0.333 0.250 Ta
```

Offset from the most stable computed form, meV/atom: 1890.3
Size of the total moment, Bohr magnetons per cell: 0.0
DFT formation energy, meV/atom: 1997.7

# 10
Computed, not measured: crystalline Sc2Ta at its relaxed geometry at the PBE level of DFT.

The structure in POSCAR format:
```
Sc2Ta
1.0
-2.220 2.220 13.083
2.220 -2.220 13.083
2.220 2.220 -13.083
Sc Ta
8 4
Direct
0.041 0.791 0.250 Sc
0.124 0.374 0.750 Sc
0.209 0.959 0.250 Sc
0.374 0.124 0.250 Sc
0.626 0.876 0.750 Sc
0.791 0.041 0.750 Sc
0.876 0.626 0.250 Sc
0.959 0.209 0.750 Sc
0.286 0.536 0.750 Ta
0.464 0.714 0.750 Ta
0.536 0.286 0.250 Ta
0.714 0.464 0.250 Ta
```

Offset from the most stable computed form, meV/atom: 100.7
Size of the total moment, Bohr magnetons per cell: 0.0
DFT formation energy, meV/atom: 192.4

# 11
Computed, not measured: crystalline ScTa3 at its relaxed geometry at the PBE level of DFT.

The structure in POSCAR format:
```
ScTa3
1.0
4.927 -1.408 0.000
4.927 1.408 0.000
-0.277 0.000 5.566
Sc Ta
1 3
Direct
0.000 0.000 0.000 Sc
0.248 0.248 0.741 Ta
0.500 0.500 0.500 Ta
0.752 0.752 0.259 Ta
```

Offset from the most stable computed form, meV/atom: 105.4
Size of the total moment, Bohr magnetons per cell: 0.0
DFT formation energy, meV/atom: 226.7

# 12
Computed, not measured: crystalline Sc5Ta3 at its relaxed geometry at the PBE level of DFT.

The structure in POSCAR format:
```
Sc5Ta3
1.0
4.328 -4.574 0.000
4.328 4.574 0.000
0.000 0.000 4.293
Sc Ta
5 3
Direct
0.000 0.000 0.000 Sc
0.000 0.500 0.000 Sc
0.259 0.741 0.500 Sc
0.500 0.000 0.000 Sc
0.741 0.259 0.500 Sc
0.269 0.269 0.500 Ta
0.500 0.500 0.000 Ta
0.731 0.731 0.500 Ta
```

Offset from the most stable computed form, meV/atom: 0.0
Size of the total moment, Bohr magnetons per cell: 0.0
DFT formation energy, meV/atom: 195.5

# 13
Computed, not measured: crystalline ScTa at its relaxed geometry at the PBE level of DFT.

The structure in POSCAR format:
```
ScTa
1.0
3.453 0.000 0.000
0.000 3.453 0.000
0.000 0.000 7.217
Sc Ta
2 2
Direct
0.250 0.250 0.163 Sc
0.750 0.750 0.837 Sc
0.250 0.250 0.591 Ta
0.750 0.750 0.409 Ta
```

Offset from the most stable computed form, meV/atom: 0.0
Size of the total moment, Bohr magnetons per cell: 0.0
DFT formation energy, meV/atom: 107.4

# 14
Computed, not measured: crystalline ScTa at its relaxed geometry at the PBE level of DFT.

The structure in POSCAR format:
```
ScTa
1.0
5.403 0.000 0.000
0.000 7.615 0.000
0.000 0.000 8.054
Sc Ta
8 8
Direct
0.024 0.101 0.498 Sc
0.030 0.424 0.687 Sc
0.470 0.576 0.187 Sc
0.476 0.899 0.998 Sc
0.524 0.399 0.502 Sc
0.530 0.076 0.313 Sc
0.970 0.924 0.813 Sc
0.976 0.601 0.002 Sc
0.014 0.922 0.194 Ta
0.206 0.238 0.040 Ta
0.294 0.762 0.540 Ta
0.486 0.078 0.694 Ta
0.514 0.578 0.806 Ta
0.706 0.262 0.960 Ta
0.794 0.738 0.460 Ta
0.986 0.422 0.306 Ta
```

Offset from the most stable computed form, meV/atom: 191.0
Size of the total moment, Bohr magnetons per cell: 0.0
DFT formation energy, meV/atom: 298.4

# 15
Computed, not measured: crystalline ScTa at its relaxed geometry at the PBE level of DFT.

The structure in POSCAR format:
```
ScTa
1.0
3.054 0.000 0.000
-1.527 2.645 0.000
0.000 0.000 10.215
Sc Ta
2 2
Direct
0.333 0.667 0.361 Sc
0.667 0.333 0.639 Sc
0.333 0.667 0.879 Ta
0.667 0.333 0.121 Ta
```

Offset from the most stable computed form, meV/atom: 98.4
Size of the total moment, Bohr magnetons per cell: 0.0
DFT formation energy, meV/atom: 205.8

# 16
Computed, not measured: crystalline ScTa at its relaxed geometry at the PBE level of DFT.

The structure in POSCAR format:
```
ScTa
1.0
2.925 0.000 0.000
0.000 2.925 0.000
0.000 0.000 9.717
Sc Ta
2 2
Direct
0.250 0.250 0.149 Sc
0.750 0.750 0.851 Sc
0.250 0.250 0.618 Ta
0.750 0.750 0.382 Ta
```

Offset from the most stable computed form, meV/atom: 81.8
Size of the total moment, Bohr magnetons per cell: 0.0
DFT formation energy, meV/atom: 189.2

# 17
Computed, not measured: crystalline ScTa at its relaxed geometry at the PBE level of DFT.

The structure in POSCAR format:
```
ScTa
1.0
3.038 0.000 0.000
0.000 14.800 0.000
0.000 0.000 5.450
Sc Ta
6 6
Direct
0.250 0.085 0.079 Sc
0.250 0.415 0.079 Sc
0.250 0.750 0.733 Sc
0.750 0.250 0.267 Sc
0.750 0.585 0.921 Sc
0.750 0.915 0.921 Sc
0.250 0.250 0.738 Ta
0.250 0.581 0.416 Ta
0.250 0.919 0.416 Ta
0.750 0.081 0.584 Ta
0.750 0.419 0.584 Ta
0.750 0.750 0.262 Ta
```

Offset from the most stable computed form, meV/atom: 98.7
Size of the total moment, Bohr magnetons per cell: 0.0
DFT formation energy, meV/atom: 206.1

# 18
Computed, not measured: crystalline ScTa at its relaxed geometry at the PBE level of DFT.

The structure in POSCAR format:
```
ScTa
1.0
5.576 0.000 0.000
0.000 5.576 0.000
0.000 0.000 5.696
Sc Ta
4 4
Direct
0.181 0.181 0.000 Sc
0.319 0.681 0.500 Sc
0.681 0.319 0.500 Sc
0.819 0.819 0.000 Sc
0.168 0.168 0.500 Ta
0.332 0.668 0.000 Ta
0.668 0.332 0.000 Ta
0.832 0.832 0.500 Ta
```

Offset from the most stable computed form, meV/atom: 810.3
Size of the total moment, Bohr magnetons per cell: 0.0
DFT formation energy, meV/atom: 917.8

# 19
Computed, not measured: crystalline ScTa at its relaxed geometry at the PBE level of DFT.

The structure in POSCAR format:
```
ScTa
1.0
5.532 -1.480 0.000
5.532 1.480 0.000
-2.549 0.000 4.956
Sc Ta
2 2
Direct
0.120 0.120 0.469 Sc
0.880 0.880 0.531 Sc
0.373 0.373 0.012 Ta
0.627 0.627 0.988 Ta
```

Offset from the most stable computed form, meV/atom: 75.5
Size of the total moment, Bohr magnetons per cell: 0.0
DFT formation energy, meV/atom: 182.9

# 20
Computed, not measured: crystalline ScTa3 at its relaxed geometry at the PBE level of DFT.

The structure in POSCAR format:
```
ScTa3
1.0
0.000 3.365 3.365
3.365 0.000 3.365
3.365 3.365 0.000
Sc Ta
1 3
Direct
0.000 0.000 0.000 Sc
0.250 0.250 0.250 Ta
0.500 0.500 0.500 Ta
0.750 0.750 0.750 Ta
```

Offset from the most stable computed form, meV/atom: 85.1
Size of the total moment, Bohr magnetons per cell: 0.0
DFT formation energy, meV/atom: 206.4